Record 1
DFT (GGA-PBE) results for crystalline Li2NdEr2Mg5 at its relaxed geometry.

```
Li2NdEr2Mg5
1.0
4.4440 0.0000 0.0000
0.0000 10.5887 0.0000
0.0000 0.0000 10.5887
Mg Li Er Nd
10 4 4 2
direct
0.5000 0.0000 0.5000
0.5000 0.2178 0.0628
0.5000 0.9372 0.2178
0.5000 0.7178 0.4372
0.5000 0.0628 0.7822
0.5000 0.5000 0.0000
0.5000 0.2822 0.5628
0.5000 0.5628 0.7178
0.5000 0.4372 0.2822
0.5000 0.7822 0.9372
0.0000 0.3864 0.1136
0.0000 0.6136 0.8864
0.0000 0.8864 0.3864
0.0000 0.1136 0.6136
0.0000 0.8198 0.6802
0.0000 0.6802 0.1802
0.0000 0.3198 0.8198
0.0000 0.1802 0.3198
0.0000 0.0000 0.0000
0.0000 0.5000 0.5000
```

Summary:
Magnetization   0.00 μB per formula unit
DFT formation energy   -0.07 eV/f.u.

Record 2
DFT (GGA-PBE) results for crystalline LiErMg2Pd4 at its relaxed geometry.

```
LiErMg2Pd4
1.0
4.5661 0.0000 0.0000
2.2830 3.9543 0.0000
2.2830 1.3181 7.5326
Mg Pd Er Li
2 4 1 1
direct
0.2440 0.2440 0.2680
0.7560 0.7560 0.7320
0.8744 0.8744 0.3767
0.1256 0.1256 0.6233
0.3824 0.3824 0.8527
0.6176 0.6176 0.1473
0.0000 0.0000 0.0000
0.5000 0.5000 0.5000
```

Summary:
Magnetization   0.00 μB per formula unit
DFT formation energy   -5.71 eV/f.u.

Record 3
DFT (GGA-PBE) results for crystalline LiEr2MgPd4 at its relaxed geometry.

```
LiEr2MgPd4
1.0
4.7126 0.0000 0.0000
2.3563 4.0812 0.0000
2.3563 1.3604 7.6712
Er Li Pd Mg
2 1 4 1
direct
0.2482 0.2482 0.2555
0.7518 0.7518 0.7445
0.5000 0.5000 0.5000
0.3743 0.3743 0.8772
0.8760 0.8760 0.3721
0.6257 0.6257 0.1228
0.1240 0.1240 0.6279
0.0000 0.0000 0.0000
```

Summary:
Magnetization   0.00 μB per formula unit
DFT formation energy   -6.22 eV/f.u.

Record 4
DFT (GGA-PBE) results for crystalline LiPmErMg at its relaxed geometry.

```
LiPmErMg
1.0
-1.8515 1.8853 -4.6566
2.3313 -1.4564 -4.5946
-2.5597 -3.2666 -3.3829
Mg Pm Er Li
1 1 1 1
direct
0.0000 0.0000 0.0000
0.7500 0.7500 0.7500
0.2500 0.2500 0.2500
0.5000 0.5000 0.5000
```

Summary:
Magnetization   0.00 μB per formula unit
DFT formation energy   0.14 eV/f.u.

Record 5
DFT (GGA-PBE) results for crystalline Li2Pm2ErMg5 at its relaxed geometry.

```
Li2Pm2ErMg5
1.0
-2.7168 -3.1033 1.7444
6.0580 -0.4099 8.7056
-5.8731 7.6412 4.4468
Mg Li Er Pm
10 4 2 4
direct
0.5000 0.2127 0.0618
0.5000 0.7127 0.4382
0.5000 0.0618 0.7873
0.5000 0.5000 0.0000
0.5000 0.0000 0.5000
0.5000 0.7873 0.9382
0.5000 0.5618 0.7127
0.5000 0.2873 0.5618
0.5000 0.9382 0.2127
0.5000 0.4382 0.2873
0.0000 0.3858 0.1142
0.0000 0.1142 0.6142
0.0000 0.6142 0.8858
0.0000 0.8858 0.3858
0.0000 0.0000 0.0000
0.0000 0.5000 0.5000
0.0000 0.6809 0.1809
0.0000 0.1809 0.3191
0.0000 0.8191 0.6809
0.0000 0.3191 0.8191
```

Summary:
Magnetization   0.00 μB per formula unit
DFT formation energy   -0.41 eV/f.u.

Record 6
DFT (GGA-PBE) results for crystalline Li2PmEr2Mg5 at its relaxed geometry.

```
Li2PmEr2Mg5
1.0
4.4375 0.0000 0.0000
0.0000 10.5650 0.0000
0.0000 0.0000 10.5650
Mg Er Pm Li
10 4 2 4
direct
0.5000 0.2167 0.0637
0.5000 0.5000 0.0000
0.5000 0.4363 0.2833
0.5000 0.0637 0.7833
0.5000 0.7167 0.4363
0.5000 0.2833 0.5637
0.5000 0.0000 0.5000
0.5000 0.7833 0.9363
0.5000 0.5637 0.7167
0.5000 0.9363 0.2167
0.0000 0.6799 0.1799
0.0000 0.8201 0.6799
0.0000 0.3201 0.8201
0.0000 0.1799 0.3201
0.0000 0.0000 0.0000
0.0000 0.5000 0.5000
0.0000 0.8859 0.3859
0.0000 0.3859 0.1141
0.0000 0.6141 0.8859
0.0000 0.1141 0.6141
```

Summary:
Magnetization   0.00 μB per formula unit
DFT formation energy   -0.09 eV/f.u.

Record 7
DFT (GGA-PBE) results for crystalline LiEr2MgRh4 at its relaxed geometry.

```
LiEr2MgRh4
1.0
4.5733 0.0000 0.0000
2.2867 3.9606 0.0000
2.2867 1.3202 7.4517
Rh Er Li Mg
4 2 1 1
direct
0.8759 0.8759 0.3723
0.1241 0.1241 0.6277
0.3743 0.3743 0.8771
0.6257 0.6257 0.1229
0.2475 0.2475 0.2576
0.7525 0.7525 0.7424
0.5000 0.5000 0.5000
0.0000 0.0000 0.0000
```

Summary:
Magnetization   0.00 μB per formula unit
DFT formation energy   -5.26 eV/f.u.

Record 8
DFT (GGA-PBE) results for crystalline LiEr2MgS4 at its relaxed geometry.

```
LiEr2MgS4
1.0
-1.3576 -2.2970 2.7059
2.5737 -5.2008 -3.1237
6.0973 -1.0189 2.1941
Li S Er Mg
1 4 2 1
direct
0.5000 0.5000 0.0000
0.0000 0.7409 0.7492
0.5000 0.7367 0.2552
0.5000 0.2633 0.7448
0.0000 0.2591 0.2508
0.5000 0.0000 0.5000
0.0000 0.0000 0.0000
0.0000 0.5000 0.5000
```

Summary:
Magnetization   0.00 μB per formula unit

Number 1: DFT total energy -51.5 eV for the cell shown. Number 2: DFT total energy -36.2 eV for the cell shown. Number 3: DFT total energy -39.6 eV for the cell shown. Number 4: DFT total energy -12.7 eV for the cell shown. Number 5: DFT total energy -52.6 eV for the cell shown. Number 6: DFT total energy -51.5 eV for the cell shown. Number 7: DFT total energy -47.3 eV for the cell shown. Number 8: DFT total energy -43.1 eV for the cell shown.